Computed, not measured: a relaxed structure of Cs2LaW3O12 at the GGA+U level of DFT.

As for the size of the total moment: 0.042 μB per atom. The calculation puts the total energy at -0.2592 Ha/atom. The theoretical density is 5.93 Mg/m³.

It has space group R-3m (No. 166, hexagonal axes), with a = 7.5599 Å, b = 7.5599 Å, c = 19.4989 Å, α = 90.00°, β = 90.00° and γ = 120.00°. The distinct sites, in fractional coordinates, are Cs at (0.0000, 0.0000, 0.1234), La at (0.0000, 0.0000, 0.5000), W at (0.0000, 0.5000, 0.0000), O at (0.0308, 0.5154, 0.0972) and O at (0.0895, 0.5447, 0.3405).